Entry 1:
A plane-wave DFT calculation with GGA-PBE was carried out for crystalline AcTl2CuSe4 at its relaxed geometry.

Cell lengths 4.3696, 7.7609, 14.1696 Å; angles 90.00, 90.00, 106.35 degrees
Atoms (fractional coordinates):
Tl: 0.3656 0.7311 0.5404
Cu: 0.1589 0.3177 0.2500
Se: 0.4190 0.8379 0.7500
Se: 0.0000 0.0000 0.5000
Ac: 0.9289 0.8577 0.2500
Tl: 0.3656 0.7311 0.9596
Se: 0.6995 0.3990 0.6575
Se: 0.3005 0.6010 0.3425
Tl: 0.6344 0.2689 0.4596
Se: 0.0000 0.0000 0.0000
Se: 0.3005 0.6010 0.1575
Cu: 0.8411 0.6823 0.7500
Tl: 0.6344 0.2689 0.0404
Ac: 0.0711 0.1423 0.7500
Se: 0.6995 0.3990 0.8425
Se: 0.5810 0.1621 0.2500

V ... 461 Å³/cell
Formation energy (no corrections) ... -0.762 eV per atom

Entry 2:
A plane-wave DFT calculation with GGA-PBE was carried out for crystalline AcTmCuSe4 at its relaxed geometry.

Cell lengths 7.0941, 5.9993, 8.4757 Å; angles 90.00, 107.21, 90.00 degrees
Atoms (fractional coordinates):
Se: 0.4322 0.7500 0.6003
Tm: 0.7236 0.7500 0.4337
Tm: 0.2764 0.2500 0.5663
Cu: 0.7501 0.2500 0.6866
Se: 0.0188 0.5105 0.7291
Ac: 0.7462 0.7500 0.9346
Cu: 0.2499 0.7500 0.3134
Se: 0.5688 0.2500 0.8822
Se: 0.0188 0.9895 0.7291
Ac: 0.2538 0.2500 0.0654
Se: 0.4312 0.7500 0.1178
Se: 0.9812 0.4895 0.2709
Se: 0.5678 0.2500 0.3997
Se: 0.9812 0.0105 0.2709

V ... 345 Å³/cell
Formation energy (no corrections) ... -1.392 eV per atom

Entry 3:
A plane-wave DFT calculation with GGA-PBE was carried out for crystalline Ac2UCuSe6 at its relaxed geometry.

Cell lengths 7.4209, 7.1282, 7.5129 Å; angles 118.32, 122.01, 90.00 degrees
Atoms (fractional coordinates):
Se: 0.1976 0.6993 0.8814
Se: 0.1976 0.1821 0.8814
Ac: 0.7641 0.7374 0.4749
Ac: 0.2359 0.2626 0.5251
Se: 0.8024 0.3007 0.1186
U: 0.0000 0.5000 0.0000
Se: 0.6379 0.2489 0.4979
Se: 0.3621 0.7511 0.5021
Cu: 0.5000 0.0000 0.0000
Se: 0.8024 0.8179 0.1186

V ... 279 Å³/cell
Formation energy (no corrections) ... -1.330 eV per atom

Entry 4:
A plane-wave DFT calculation with GGA-PBE was carried out for crystalline AcUCuSe6 at its relaxed geometry.

Cell lengths 6.9488, 6.6107, 6.6107 Å; angles 120.00, 90.00, 90.00 degrees
Atoms (fractional coordinates):
U: 0.5000 0.6667 0.3333
Se: 0.7380 0.9558 0.2776
Se: 0.2620 0.3218 0.2776
Se: 0.7380 0.7224 0.6782
Se: 0.2620 0.7224 0.0442
Ac: 0.0000 0.3333 0.6667
Se: 0.2620 0.9558 0.6782
Cu: 0.5000 0.0000 0.0000
Se: 0.7380 0.3218 0.0442

V ... 263 Å³/cell
Formation energy (no corrections) ... -0.808 eV per atom

Entry 5:
A plane-wave DFT calculation with GGA-PBE was carried out for crystalline Ac2UCuSe5 at its relaxed geometry.

Cell lengths 4.2004, 9.1160, 12.9237 Å; angles 90.00, 90.00, 103.32 degrees
Atoms (fractional coordinates):
Se: 0.9783 0.9565 0.5135
Se: 0.6557 0.3114 0.5204
Se: 0.4953 0.9907 0.7533
Cu: 0.5544 0.1088 0.9231
Ac: 0.1188 0.2376 0.6974
U: 0.8198 0.6396 0.5248
Se: 0.6968 0.3936 0.1807
Se: 0.3443 0.6886 0.0204
Cu: 0.4456 0.8912 0.4231
U: 0.1802 0.3604 0.0248
Ac: 0.1175 0.2350 0.3438
Ac: 0.8825 0.7650 0.8438
Se: 0.6898 0.3796 0.8669
Se: 0.5047 0.0093 0.2533
Se: 0.0217 0.0435 0.0135
Se: 0.3102 0.6204 0.3669
Se: 0.3032 0.6064 0.6807
Ac: 0.8812 0.7624 0.1974

V ... 482 Å³/cell
Formation energy (no corrections) ... -1.473 eV per atom

Entry 6:
A plane-wave DFT calculation with GGA-PBE was carried out for crystalline AcYCuSe4 at its relaxed geometry.

Cell lengths 7.1397, 6.0143, 8.5216 Å; angles 90.00, 107.18, 90.00 degrees
Atoms (fractional coordinates):
Se: 0.0168 0.9898 0.7335
Se: 0.0168 0.5102 0.7335
Ac: 0.2567 0.2500 0.0660
Ac: 0.7433 0.7500 0.9340
Y: 0.7258 0.7500 0.4344
Cu: 0.7484 0.2500 0.6859
Se: 0.4299 0.7500 0.1168
Se: 0.9832 0.0102 0.2665
Se: 0.4297 0.7500 0.6006
Se: 0.5703 0.2500 0.3994
Se: 0.9832 0.4898 0.2665
Se: 0.5701 0.2500 0.8832
Y: 0.2742 0.2500 0.5656
Cu: 0.2516 0.7500 0.3141

V ... 350 Å³/cell
Formation energy (no corrections) ... -1.423 eV per atom